<a>
VASP calculation (PBE) on a relaxed structure of KAs2BrF.

Crystal system: tetragonal

abc: 5.133 6.040 5.133
angles: 90.00 90.00 90.00
Atoms (fractional coordinates):
K  0.500  0.500  0.500
Br  0.000  0.000  0.000
As  0.000  0.000  0.500
As  0.500  0.000  0.000
F  0.000  0.500  0.000

---

<b>
VASP calculation (PBE) on a relaxed structure of KAs2BrF.

Crystal system: tetragonal

abc: 4.424 4.424 7.073
angles: 90.00 90.00 90.00
Atoms (fractional coordinates):
K  0.500  0.500  0.500
As  0.000  0.500  0.000
F  0.000  0.000  0.000
As  0.500  0.000  0.000
Br  0.000  0.000  0.500

---

The most stable of them is <b>.

---

<a>
VASP calculation (PBE) on a relaxed structure of LaAsBr2F.

Crystal system: tetragonal

abc: 5.368 5.368 4.117
angles: 90.00 90.00 90.00
Atoms (fractional coordinates):
La  0.500  0.500  0.500
Br  0.000  0.500  0.000
F  0.000  0.000  0.000
As  0.000  0.000  0.500
Br  0.500  0.000  0.000

---

<b>
VASP calculation (PBE) on a relaxed structure of LaAsBr2F.

Crystal system: tetragonal

abc: 5.751 5.751 6.285
angles: 90.00 90.00 90.00
Atoms (fractional coordinates):
F  0.500  0.500  0.500
Br  0.000  0.500  0.000
As  0.000  0.000  0.500
Br  0.500  0.000  0.000
La  0.000  0.000  0.000

---

The most stable of them is <a>.

---

<a>
VASP calculation (PBE) on a relaxed structure of LiAsBr2F.

Crystal system: tetragonal

abc: 4.668 4.668 4.911
angles: 90.00 90.00 90.00
Atoms (fractional coordinates):
Li  0.000  0.000  0.000
F  0.500  0.500  0.500
As  0.000  0.000  0.500
Br  0.500  0.000  0.000
Br  0.000  0.500  0.000

---

<b>
VASP calculation (PBE) on a relaxed structure of LiAsBr2F.

Crystal system: tetragonal

abc: 5.716 5.716 3.875
angles: 90.00 90.00 90.00
Atoms (fractional coordinates):
Br  0.500  0.000  0.000
Li  0.500  0.500  0.500
Br  0.000  0.500  0.000
F  0.000  0.000  0.000
As  0.000  0.000  0.500

---

The most stable of them is <b>.

---

<a>
VASP calculation (PBE) on a relaxed structure of MgAsBr2F.

Crystal system: tetragonal

abc: 5.584 5.584 3.914
angles: 90.00 90.00 90.00
Atoms (fractional coordinates):
As  0.000  0.000  0.500
Br  0.000  0.500  0.000
Mg  0.500  0.500  0.500
F  0.000  0.000  0.000
Br  0.500  0.000  0.000

---

<b>
VASP calculation (PBE) on a relaxed structure of MgAsBr2F.

Crystal system: tetragonal

abc: 4.995 4.995 5.433
angles: 90.00 90.00 90.00
Atoms (fractional coordinates):
F  0.500  0.500  0.500
Br  0.500  0.000  0.000
Br  0.000  0.500  0.000
Mg  0.000  0.000  0.000
As  0.000  0.000  0.500

---

The most stable of them is <a>.